MnCI2O after structural relaxation. Source: Alexandria, functional PBE with a Hubbard U.

Space group ... P4/mmm, No. 123
Crystal system ... tetragonal
Total moment ... 5.02 μB per cell
Calculated total energy ... -3.972 eV per atom
D(E_F) ... 0.40 states/eV/atom
Energy above the lowest structure with this stoichiometry ... 0.0 kJ/mol of atoms

abc: 5.276 5.276 3.538
angles: 90.00 90.00 90.00
Site moments in Bohr magnetons follow the coordinates.
Fractional positions:
C  0.000  0.000  0.000  -0.02
I  0.000  0.500  0.000  0.03
I  0.500  0.000  0.000  0.03
Mn  0.500  0.500  0.500  4.65
O  0.000  0.000  0.500  0.00